BTeI | PBE | optimized geometry

```
6
Lattice="7.584 0.000 0.000 0.000 3.040 0.000 -2.864 0.000 7.969" Properties=species:S:1:pos:R:3 pbc="T T T"
B 0.014 0.760 0.405
B 4.707 2.280 7.564
Te 1.426 0.760 2.190
Te 3.295 2.280 5.779
I -0.703 2.280 6.474
I 5.423 0.760 1.495
```

Relative energy among the computed polymorphs (meV/atom): 21.3
Crystal system: monoclinic
Density of states at the Fermi level (states/eV per cell): 3.6
Magnetization (μB/cell): 0.00

BTeI2 | PBE | optimized geometry

```
8
Lattice="-3.735 3.735 4.689 3.735 -3.735 4.689 3.735 3.735 -4.689" Properties=species:S:1:pos:R:3 pbc="T T T"
B 0.000 0.000 0.000
B 0.000 3.735 2.345
Te 3.735 0.000 2.345
Te 0.000 0.000 4.689
I 0.894 1.868 1.172
I -1.868 2.841 3.517
I -0.894 5.603 1.172
I 1.868 4.629 3.517
```

Relative energy among the computed polymorphs (meV/atom): 869.6
Crystal system: tetragonal
Density of states at the Fermi level (states/eV per cell): 7.6
Magnetization (μB/cell): 2.02

BTeI2 | PBE | optimized geometry

```
8
Lattice="5.670 0.000 0.000 -1.892 7.059 0.000 -0.272 -3.579 10.585" Properties=species:S:1:pos:R:3 pbc="T T T"
B 0.000 0.000 0.000
B 2.107 -1.281 5.216
Te -1.262 4.252 4.804
Te 1.707 4.861 3.941
I -1.531 1.451 10.584
I 0.518 1.286 1.617
I 2.103 0.451 6.418
I 4.237 -2.818 8.967
```

Relative energy among the computed polymorphs (meV/atom): 0.8
Crystal system: triclinic
Magnetization (μB/cell): 0.00

no.,formation energy (no corrections) (meV/atom)
1,262
2,975
3,106